## A
## HfBe3Br (PBE-GGA)

Data for HfBe3Br after structural relaxation.

Values from the calculation:
SG ... Pm-3m
M_tot ... 0.00 μB per formula unit
D(E_F) ... 0.61 states/eV per atom

Cell: 5.067 5.067 5.067 Å, 90.00 90.00 90.00°
Element x y z (fractional)
Be 0.000 0.500 0.000
Hf 0.000 0.000 0.000
Be 0.500 0.000 0.000
Br 0.500 0.500 0.500
Be 0.000 0.000 0.500



## B
## HfBe3Br (PBE-GGA)

Data for HfBe3Br after structural relaxation.

Values from the calculation:
SG ... Pm-3m
M_tot ... 0.00 μB per formula unit
D(E_F) ... 1.05 states/eV per atom

Cell: 4.343 4.343 4.343 Å, 90.00 90.00 90.00°
Element x y z (fractional)
Br 0.000 0.000 0.000
Be 0.000 0.500 0.000
Be 0.500 0.000 0.000
Hf 0.500 0.500 0.500
Be 0.000 0.000 0.500



The structure with the most favorable energy is B; the runner-up is 384 meV per atom above it.



## A
## HfBeSeBr2 (PBE-GGA)

Data for HfBeSeBr2 after structural relaxation.

Values from the calculation:
SG ... P4/mmm
M_tot ... 0.00 μB per formula unit
D(E_F) ... 0.53 states/eV per atom

Cell: 5.340 5.340 5.120 Å, 90.00 90.00 90.00°
Element x y z (fractional)
Br 0.000 0.500 0.000
Hf 0.000 0.000 0.000
Se 0.000 0.000 0.500
Be 0.500 0.500 0.500
Br 0.500 0.000 0.000



## B
## HfBeSeBr2 (PBE-GGA)

Data for HfBeSeBr2 after structural relaxation.

Values from the calculation:
SG ... P4/mmm
M_tot ... 0.00 μB per formula unit
D(E_F) ... 0.74 states/eV per atom

Cell: 4.576 4.576 4.898 Å, 90.00 90.00 90.00°
Element x y z (fractional)
Se 0.000 0.000 0.500
Br 0.500 0.000 0.000
Be 0.000 0.000 0.000
Br 0.000 0.500 0.000
Hf 0.500 0.500 0.500



The structure with the most favorable energy is A; the runner-up is 201 meV per atom above it.



## A
## BeHgBr2 (PBE-GGA)

Data for BeHgBr2 after structural relaxation.

Values from the calculation:
SG ... P4/mmm
M_tot ... 0.00 μB per formula unit
D(E_F) ... 0.66 states/eV per atom

Cell: 3.634 5.114 5.114 Å, 90.00 90.00 90.00°
Element x y z (fractional)
Br 0.000 0.500 0.500
Hg 0.500 0.500 0.000
Br 0.000 0.000 0.000
Be 0.500 0.000 0.500



## B
## BeHgBr2 (PBE-GGA)

Data for BeHgBr2 after structural relaxation.

Values from the calculation:
SG ... C2/m
M_tot ... 0.00 μB per formula unit
D(E_F) ... 0.00 states/eV per atom

Cell: 6.828 6.828 7.974 Å, 57.77 57.77 28.05°
Element x y z (fractional)
Br 0.893 0.893 0.116
Be 0.250 0.250 0.250
Br 0.607 0.607 0.384
Hg 0.750 0.750 0.750



The structure with the most favorable energy is B; the runner-up is 963 meV per atom above it.



## A
## BeHgBr2 (PBE-GGA)

Data for BeHgBr2 after structural relaxation.

Values from the calculation:
SG ... Pm
M_tot ... 0.00 μB per formula unit
D(E_F) ... 0.00 states/eV per atom

Cell: 3.550 7.606 6.633 Å, 59.70 90.00 90.00°
Element x y z (fractional)
Be 0.500 0.979 0.673
Br 0.500 0.137 0.326
Br 0.000 0.879 0.894
Hg 0.000 0.505 0.607



## B
## BeHgBr2 (PBE-GGA)

Data for BeHgBr2 after structural relaxation.

Values from the calculation:
SG ... Cmm2
M_tot ... 0.00 μB per formula unit

Cell: 4.855 4.855 9.181 Å, 90.00 90.00 138.90°
Element x y z (fractional)
Hg 0.000 0.000 0.539
Br 0.000 0.000 0.909
Be 0.500 0.500 0.749
Br 0.500 0.500 0.304



The structure with the most favorable energy is A; the runner-up is 426 meV per atom above it.



## A
## BeHgBr2 (PBE-GGA)

Data for BeHgBr2 after structural relaxation.

Values from the calculation:
SG ... Imm2
M_tot ... 0.00 μB per formula unit
D(E_F) ... 0.03 states/eV per atom

Cell: 6.260 6.260 6.257 Å, 148.57 103.77 84.78°
Element x y z (fractional)
Be 0.247 0.747 0.500
Hg 0.459 0.459 0.000
Br 0.091 0.091 0.000
Br 0.704 0.204 0.500



## B
## BeHgBr2 (PBE-GGA)

Data for BeHgBr2 after structural relaxation.

Values from the calculation:
SG ... I-42d
M_tot ... 0.00 μB per formula unit
D(E_F) ... 0.00 states/eV per atom

Cell: 7.118 7.118 6.881 Å, 58.85 58.85 90.00°
Element x y z (fractional)
Br 0.281 0.625 0.250
Br 0.469 0.125 0.250
Br 0.375 0.531 0.750
Hg 0.000 0.000 0.000
Be 0.250 0.750 0.500
Br 0.875 0.719 0.750
Be 0.500 0.500 0.000
Hg 0.750 0.250 0.500



## C
## BeHgBr2 (PBE-GGA)

Data for BeHgBr2 after structural relaxation.

Values from the calculation:
SG ... Cm
M_tot ... 0.00 μB per formula unit
D(E_F) ... 0.00 states/eV per atom

Cell: 7.349 7.349 6.470 Å, 58.06 58.06 26.36°
Element x y z (fractional)
Be 0.345 0.345 0.963
Br 0.738 0.738 0.932
Br 0.912 0.912 0.097
Hg 0.505 0.505 0.508



## D
## BeHgBr2 (PBE-GGA)

Data for BeHgBr2 after structural relaxation.

Values from the calculation:
SG ... R3m
M_tot ... 0.00 μB per formula unit

Cell: 8.833 8.833 8.833 Å, 23.50 23.50 23.50°
Element x y z (fractional)
Br 0.036 0.036 0.036
Br 0.228 0.228 0.228
Be 0.751 0.751 0.751
Hg 0.485 0.485 0.485



The structure with the most favorable energy is B; the runner-up is 53 meV per atom above it.



## A
## BeHgBr2 (PBE-GGA)

Data for BeHgBr2 after structural relaxation.

Values from the calculation:
SG ... P2/m
M_tot ... 0.00 μB per formula unit
D(E_F) ... 0.00 states/eV per atom

Cell: 3.305 4.771 9.435 Å, 82.53 90.00 90.00°
Element x y z (fractional)
Br 0.000 0.640 0.599
Be 0.500 0.750 0.750
Br 0.000 0.860 0.901
Hg 0.500 0.250 0.250



## B
## BeHgBr2 (PBE-GGA)

Data for BeHgBr2 after structural relaxation.

Values from the calculation:
SG ... R-3m
M_tot ... 0.00 μB per formula unit
D(E_F) ... 0.00 states/eV per atom

Cell: 7.192 7.192 7.192 Å, 60.55 60.55 60.55°
Element x y z (fractional)
Hg 0.500 0.500 0.500
Br 0.889 0.889 0.889
Br 0.111 0.111 0.111
Be 0.000 0.000 0.000



## C
## BeHgBr2 (PBE-GGA)

Data for BeHgBr2 after structural relaxation.

Values from the calculation:
SG ... Fm-3m
M_tot ... 0.00 μB per formula unit
D(E_F) ... 0.50 states/eV per atom

Cell: 5.104 5.104 5.104 Å, 60.00 60.00 60.00°
Element x y z (fractional)
Br 0.250 0.250 0.250
Hg 0.500 0.500 0.500
Be 0.000 0.000 0.000
Br 0.750 0.750 0.750



## D
## BeHgBr2 (PBE-GGA)

Data for BeHgBr2 after structural relaxation.

Values from the calculation:
SG ... I-4m2
M_tot ... 0.00 μB per formula unit
D(E_F) ... 0.32 states/eV per atom

Cell: 8.242 8.242 8.242 Å, 152.04 152.04 39.96°
Element x y z (fractional)
Be 0.750 0.250 0.500
Br 0.000 0.000 0.000
Hg 0.500 0.500 0.000
Br 0.250 0.750 0.500



The structure with the most favorable energy is B; the runner-up is 16 meV per atom above it.